# Ac2ErUS6

An optimized crystal structure of Ac2ErUS6 (PBE, the Alexandria database).

abc: 7.492 7.492 7.492
angles: 58.12 58.12 58.12
Atoms (fractional coordinates):
Ac 0.000 0.000 0.000
Ac 0.499 0.499 0.499
Er 0.211 0.211 0.211
U 0.711 0.711 0.711
S 0.073 0.852 0.428
S 0.347 0.569 0.932
S 0.428 0.073 0.852
S 0.569 0.932 0.347
S 0.852 0.428 0.073
S 0.932 0.347 0.569

Summary:
Space-group type: R3
DOS(E_F): 0.86 states/eV/atom
E_tot: -6.754 eV/atom
V: 28.46 Å³/atom
Density: 6.137 g/cm³

=====

# ScRe2Sb

An optimized crystal structure of ScRe2Sb (PBE, the Alexandria database).

abc: 4.487 4.487 3.394
angles: 90.00 90.00 90.00
Atoms (fractional coordinates):
Sc 0.000 0.000 0.000
Re 0.000 0.500 0.500
Re 0.500 0.000 0.500
Sb 0.500 0.500 0.000

Summary:
Space-group type: P4/mmm
DOS(E_F): 1.01 states/eV/atom
E_tot: -8.650 eV/atom
V: 17.09 Å³/atom
Density: 13.099 g/cm³

=====

# Pm2TeRu

An optimized crystal structure of Pm2TeRu (PBE, the Alexandria database).

abc: 7.801 7.801 7.801
angles: 31.27 31.27 31.27
Atoms (fractional coordinates):
Pm 0.237 0.237 0.237
Pm 0.763 0.763 0.763
Te 0.000 0.000 0.000
Ru 0.500 0.500 0.500

Summary:
Space-group type: R-3m
DOS(E_F): 0.48 states/eV/atom
V: 28.38 Å³/atom
Density: 7.587 g/cm³
Energy above the most stable polymorph in this dataset: 35.1 meV/atom

=====

# RbSr2Cd

An optimized crystal structure of RbSr2Cd (PBE, the Alexandria database).

abc: 4.161 4.161 11.490
angles: 90.00 90.00 90.00
Atoms (fractional coordinates):
Rb 0.000 0.000 0.000
Sr 0.500 0.500 0.331
Sr 0.500 0.500 0.669
Cd 0.000 0.000 0.500

Summary:
Formation energy: -0.1046 eV per atom
Space-group type: P4/mmm
DOS(E_F): 1.08 states/eV/atom
V: 49.74 Å³/atom
Density: 3.114 g/cm³

=====

# NaPrIn2

An optimized crystal structure of NaPrIn2 (PBE, the Alexandria database).

abc: 5.298 5.298 4.051
angles: 90.00 90.00 90.00
Atoms (fractional coordinates):
Na 0.000 0.000 0.000
Pr 0.500 0.500 0.000
In 0.000 0.500 0.500
In 0.500 0.000 0.500

Summary:
Formation energy: -0.3174 eV per atom
Space-group type: P4/mmm
DOS(E_F): 0.51 states/eV/atom
V: 28.43 Å³/atom
Density: 5.747 g/cm³
Energy above the most stable polymorph in this dataset: 0.0 meV/atom

=====

# RbP2Ir

An optimized crystal structure of RbP2Ir (PBE, the Alexandria database).

abc: 6.678 6.678 6.678
angles: 115.77 115.77 97.50
Atoms (fractional coordinates):
Rb 0.000 0.000 0.000
Rb 0.750 0.250 0.500
P 0.257 0.625 0.132
P 0.375 0.507 0.632
P 0.493 0.125 0.868
P 0.875 0.743 0.368
Ir 0.250 0.750 0.500
Ir 0.500 0.500 0.000

Summary:
Formation energy: -0.2392 eV per atom
Space-group type: I-42d
DOS(E_F): 0.82 states/eV/atom
V: 27.75 Å³/atom
Density: 5.081 g/cm³
Energy above the most stable polymorph in this dataset: 0.0 meV/atom

=====

# HoPuMnAl

An optimized crystal structure of HoPuMnAl (PBE, the Alexandria database).

abc: 5.031 5.031 5.031
angles: 60.00 60.00 60.00
Atoms (fractional coordinates):
Ho 0.000 0.000 0.000
Pu 0.500 0.500 0.500
Mn 0.750 0.750 0.750
Al 0.250 0.250 0.250

Summary:
Formation energy: 0.1617 eV per atom
Space-group type: F-43m
DOS(E_F): 3.26 states/eV/atom
V: 22.51 Å³/atom
Density: 9.052 g/cm³

=====

# CrIr3W

An optimized crystal structure of CrIr3W (PBE, the Alexandria database).

abc: 4.437 4.437 4.437
angles: 90.00 90.00 90.00
Atoms (fractional coordinates):
Cr 0.000 0.000 0.000
Ir 0.000 0.000 0.500
Ir 0.000 0.500 0.000
Ir 0.500 0.000 0.000
W 0.500 0.500 0.500

Summary:
Formation energy: 1.5781 eV per atom
Space-group type: Pm-3m
DOS(E_F): 1.55 states/eV/atom
V: 17.47 Å³/atom
Density: 15.447 g/cm³
Energy above the most stable polymorph in this dataset: 1765.6 meV/atom